#a
LiTaCu3 after structural relaxation, computed with PBE-GGA.

Results
Its space group is No. 221. Its magnetization is 0.0 μB/f.u.

Cell lengths 4.852, 4.852, 4.852 Å; angles 90.00, 90.00, 90.00 degrees
Sites, in units of the cell vectors:
Li (0.000, 0.000, 0.000)
Ta (0.500, 0.500, 0.500)
Cu (0.000, 0.500, 0.500)
Cu (0.500, 0.000, 0.500)
Cu (0.500, 0.500, 0.000)

---

#b
LiTaCu3 after structural relaxation, computed with PBE-GGA.

Results
Its space group is No. 221. Its magnetization is 0.0 μB/f.u.

Cell lengths 4.048, 4.048, 4.048 Å; angles 90.00, 90.00, 90.00 degrees
Sites, in units of the cell vectors:
Li (0.000, 0.000, 0.000)
Ta (0.500, 0.500, 0.500)
Cu (0.000, 0.000, 0.500)
Cu (0.000, 0.500, 0.000)
Cu (0.500, 0.000, 0.000)

---

The energetic minimum among the shown structures is #b; the next structure lies 546 meV/atom above.